Computed, not measured: a relaxed structure of PrSmMgPt at the PBE level of DFT.

The calculation puts the energy relative to the elements at -189.9 kJ/mol of formula units.

a = 7.4165 Å, b = 7.4165 Å, c = 7.4165 Å
α = 90.00°, β = 90.00°, γ = 90.00°
Last column: nearest neighbours and their distance in Å.
Space group F-43m (No. 216)
One atom of each set of equivalent atoms:
Pr 0.0000 0.0000 0.0000 [4 per cell]  4 Mg 3.21, 4 Pt 3.21
Sm 0.0000 0.0000 0.5000 [4 per cell]  4 Mg 3.21, 4 Pt 3.21
Mg 0.2500 0.2500 0.2500 [4 per cell]  4 Pr 3.21, 4 Sm 3.21
Pt 0.2500 0.2500 0.7500 [4 per cell]  4 Pr 3.21, 4 Sm 3.21